# Pr2Se2O, relaxed, DFT PBE-GGA
# - magnetization (μB per formula unit) = 0.00
# - ρ (g/cm3) = 6.3
# - energy above the lowest structure with this stoichiometry (eV per atom) = 0.0282
data_Pr2Se2O
_chemical_formula_sum 'Pr8 Se8 O4'
_symmetry_space_group_name_H-M 'I b a m'
_symmetry_Int_Tables_number 72
_symmetry_space_group_name_Hall '-I 2 2c'
_cell_length_a 6.8520
_cell_length_b 11.7613
_cell_length_c 6.0095
_cell_angle_alpha 90.00
_cell_angle_beta 90.00
_cell_angle_gamma 90.00
loop_
_atom_site_label
_atom_site_type_symbol
_atom_site_fract_x
_atom_site_fract_y
_atom_site_fract_z
_atom_site_occupancy
Pr1 Pr 0.2050 0.1036 0.0000 1
Se1 Se 0.1530 0.3560 0.0000 1
O1 O 0.0000 0.0000 0.2500 1